# 1
# Zn2B2Pb

A relaxed structure of Zn2B2Pb (GGA-PBE, Alexandria).

Output
Its density of states at the Fermi level is 2.14 states/eV per cell. The total magnetic moment is 0.00 μB/cell. The value obtained for the energy of formation is 927 meV/atom.

Geometry as CIF:
```
data_Zn2B2Pb
_chemical_formula_sum 'Zn2 B2 Pb1'
_space_group_name_H-M_alt 'P 1'
_space_group_IT_number 1
_space_group_name_Hall 'P 1'
_cell_length_a 3.750
_cell_length_b 3.750
_cell_length_c 5.992
_cell_angle_alpha 71.77
_cell_angle_beta 71.77
_cell_angle_gamma 90.00
loop_
_atom_site_label
_atom_site_fract_x
_atom_site_fract_y
_atom_site_fract_z
B1 0.250 0.750 0.500
Zn1 0.358 0.358 0.284
Zn2 0.642 0.642 0.716
Pb1 0.000 0.000 0.000
B2 0.750 0.250 0.500
```

---

# 2
# Na2AcNdF8

A relaxed structure of Na2AcNdF8 (GGA-PBE, Alexandria).

Output
Its density of states at the Fermi level is 0.00 states/eV per cell. The total magnetic moment is 0.00 μB/cell. The uncorrected formation energy is -44.247 eV/f.u.

Geometry as CIF:
```
data_Na2AcNdF8
_chemical_formula_sum 'Na2 Ac1 Nd1 F8'
_space_group_name_H-M_alt 'P 1'
_space_group_IT_number 1
_space_group_name_Hall 'P 1'
_cell_length_a 5.731
_cell_length_b 5.731
_cell_length_c 7.044
_cell_angle_alpha 114.01
_cell_angle_beta 114.01
_cell_angle_gamma 90.00
loop_
_atom_site_label
_atom_site_fract_x
_atom_site_fract_y
_atom_site_fract_z
Ac1 0.500 0.500 0.000
F1 0.370 0.390 0.257
F2 0.887 0.390 0.257
F3 0.132 0.630 0.743
Na1 0.750 0.250 0.500
Nd1 0.250 0.750 0.500
F4 0.887 0.868 0.257
F5 0.370 0.868 0.257
F6 0.610 0.113 0.743
F7 0.610 0.630 0.743
F8 0.132 0.113 0.743
Na2 0.000 0.000 0.000
```